A plane-wave DFT calculation with GGA-PBE was carried out for an optimized crystal structure of Sr2LaErSe4.

POSCAR file:
```
Sr2LaErSe4
1.0
-3.201 1.790 -2.179
-4.683 -1.708 5.477
2.922 6.811 1.304
Se Sr Er La
4 2 1 1
Direct
0.000 0.242 0.761
0.000 0.758 0.239
0.500 0.767 0.768
0.500 0.233 0.232
0.500 0.000 0.500
0.000 0.500 0.500
0.000 0.000 0.000
0.500 0.500 0.000
```

The density of states at the Fermi level is 0.484 states/eV/atom. The calculation puts the formation energy (no corrections) at -1.91 eV per atom. The calculated volume is 28.1 Å³ per atom.